Below is crystalline Nd2ErAl12Co3 at its relaxed geometry, with properties calculated at the PBE level.

Values from the calculation:
ΔE_f = 0.01 eV/atom
Uncorrected energy = -4.455 eV/atom
Calculated volume = 21.4 Å³ per atom

CIF file:
```
data_Nd2ErAl12Co3
_space_group_name_H-M_alt 'R -3 m'
_space_group_IT_number 166
_space_group_name_Hall '-R 3 2"'
_cell_length_a 8.4157
_cell_length_b 8.4157
_cell_length_c 18.7971
_cell_angle_alpha 90.00
_cell_angle_beta 90.00
_cell_angle_gamma 120.00
loop_
_atom_site_label
_atom_site_fract_x
_atom_site_fract_y
_atom_site_fract_z
Nd1 0.0000 0.0000 0.0851
Er1 0.0000 0.0000 0.5000
Al1 0.0819 0.5410 0.3183
Al2 0.0872 0.5436 0.8831
Co1 0.0000 0.5000 0.0000
```